Record 1
The following is a DFT calculation (PBE) of crystalline SmGa5Co2 at its relaxed geometry.

Geometry as extended XYZ:
```
8
Lattice="3.960 0.000 0.000 1.980 5.966 0.472 1.980 1.560 5.778" Properties=species:S:1:pos:R:3 pbc="T T T"
Co 5.940 5.521 4.584
Ga 3.960 1.721 3.190
Ga 3.960 4.074 5.144
Ga 1.980 3.763 3.125
Co 1.980 2.006 1.665
Sm 0.000 0.000 0.000
Ga 3.960 5.805 3.059
Ga 3.960 3.452 1.106
```

Output
formation energy = -0.415 eV per atom

Record 2
The following is a DFT calculation (PBE) of crystalline Zn4Bi2Ir at its relaxed geometry.

Geometry as extended XYZ:
```
7
Lattice="4.879 0.000 0.000 0.000 4.879 0.000 2.440 2.440 7.111" Properties=species:S:1:pos:R:3 pbc="T T T"
Zn 2.440 0.000 0.000
Bi 2.440 2.440 1.904
Zn 4.879 4.879 2.462
Bi 4.879 4.879 5.208
Ir 0.000 0.000 0.000
Zn 2.440 2.440 4.650
Zn 0.000 2.440 0.000
```

Output
formation energy = 0.293 eV per atom

Record 3
The following is a DFT calculation (PBE) of crystalline CrOs2W at its relaxed geometry.

Geometry as extended XYZ:
```
4
Lattice="2.756 0.000 0.000 0.000 3.772 0.000 0.000 0.000 5.504" Properties=species:S:1:pos:R:3 pbc="T T T"
Os 0.000 0.000 5.424
Cr 1.378 1.886 4.128
W 1.378 1.886 1.376
Os 0.000 0.000 2.832
```

Output
formation energy = 0.099 eV per atom

Record 4
The following is a DFT calculation (PBE) of crystalline Li4Ag2Pd3 at its relaxed geometry.

Geometry as extended XYZ:
```
9
Lattice="-2.830 1.688 2.804 -2.042 -2.565 2.823 5.962 1.126 5.337" Properties=species:S:1:pos:R:3 pbc="T T T"
Li -0.995 -0.173 2.439
Pd 0.917 0.188 4.150
Li 1.105 2.431 6.327
Li -0.014 -2.182 4.638
Ag 3.012 0.582 6.026
Pd 0.174 0.061 6.815
Pd 0.000 0.000 0.000
Li 2.086 0.422 8.526
Ag -1.921 -0.333 4.938
```

Output
formation energy = -0.315 eV per atom

Record 5
The following is a DFT calculation (PBE) of crystalline AgSnBr2 at its relaxed geometry.

Geometry as extended XYZ:
```
4
Lattice="3.875 0.000 0.000 1.938 3.356 0.000 1.938 1.119 9.217" Properties=species:S:1:pos:R:3 pbc="T T T"
Sn 0.000 0.000 0.000
Br 5.813 3.356 2.847
Br 1.938 1.119 6.370
Ag 3.875 2.237 4.608
```

Output
formation energy from raw total energies = -0.24 eV/atom

Record 6
The following is a DFT calculation (PBE) of crystalline MoIr5Rh2 at its relaxed geometry.

Geometry as extended XYZ:
```
16
Lattice="6.662 0.000 0.000 0.000 6.662 0.000 -3.331 -3.331 5.504" Properties=species:S:1:pos:R:3 pbc="T T T"
Ir 2.362 -0.969 3.638
Ir -0.969 4.300 3.638
Rh 0.932 2.399 0.000
Rh 4.263 0.932 0.000
Ir 4.300 0.969 3.638
Ir -0.969 2.362 1.866
Ir 2.362 0.969 1.866
Ir 0.969 4.300 1.866
Ir 0.969 2.362 3.638
Mo 3.331 3.331 2.752
Ir 4.300 -0.969 1.866
Mo 0.000 0.000 2.752
Ir 0.000 0.000 0.000
Ir 3.331 3.331 0.000
Rh 5.730 4.263 0.000
Rh 2.399 5.730 0.000
```

Output
formation energy = 0.198 eV per atom

Record 7
The following is a DFT calculation (PBE) of crystalline Tb3Pm6Sm2Mg at its relaxed geometry.

Geometry as extended XYZ:
```
12
Lattice="6.235 -0.003 -0.004 -3.118 5.399 -0.004 -1.036 -1.793 11.679" Properties=species:S:1:pos:R:3 pbc="T T T"
Sm 3.119 1.796 -0.004
Tb 1.040 1.801 5.836
Pm -0.001 -0.001 8.742
Pm 2.081 3.603 2.929
Mg 0.000 0.000 0.000
Pm 3.115 1.816 8.753
Pm -1.035 1.786 2.918
Tb 4.162 -0.002 5.836
Pm 2.064 -0.003 2.918
Sm -0.003 3.600 -0.004
Pm 0.016 3.606 8.753
Tb -2.082 3.604 5.836
```

Output
formation energy = 0.015 eV per atom

Record 8
The following is a DFT calculation (PBE) of crystalline FeTe at its relaxed geometry.

Geometry as extended XYZ:
```
16
Lattice="-4.937 -3.959 -4.046 3.939 -6.258 1.319 -4.066 -1.255 6.189" Properties=species:S:1:pos:R:3 pbc="T T T"
Te -4.009 -4.645 -1.818
Te 1.443 -6.057 1.478
Fe -2.902 -4.656 2.806
Te -3.475 -2.983 4.470
Fe -1.368 -9.137 -1.652
Te -1.940 -7.464 0.012
Fe -0.971 -5.862 1.632
Te -5.027 -5.535 1.890
Te -4.088 -9.261 2.795
Fe -0.611 -1.383 0.417
Fe -0.707 -7.085 6.115
Fe -3.143 -7.120 2.149
Fe -7.442 -5.340 2.044
Fe -3.112 -5.308 0.338
Te -1.556 -3.524 1.064
Te -1.605 -6.421 3.959
```

Output
formation energy from raw total energies = 0.18 eV/atom

We obtain electronic total energy values of -37.384 -19.665 -44.640 -31.771 -11.168 -136.512 -53.249 -90.021 eV/cell for the records listed above, in that order.